VASP calculation (PBE) on Ac2TmH2O6 after structural relaxation.

Computed properties:
Total DFT energy (no corrections) = -6.684 eV per atom
V = 12.47 A^3/atom
Total magnetization = 0.0 μB per formula unit
Density of states at the Fermi level = 5.5 states/eV/f.u.
Space group = R-3m

a b c (Å): 5.3390 5.3390 6.3533
angles (deg): 65.15 65.15 60.00
Fractional positions:
Ac: 0.7780 0.7780 0.6661
Ac: 0.2220 0.2220 0.3339
Tm: 0.0000 0.0000 0.0000
H: 0.4248 0.4248 0.7256
H: 0.5752 0.5752 0.2744
O: 0.7361 0.7361 0.2640
O: 0.2638 0.7361 0.2640
O: 0.7361 0.2638 0.2640
O: 0.2639 0.7362 0.7360
O: 0.7362 0.2639 0.7360
O: 0.2639 0.2639 0.7360